Density functional theory data (PBE) for an optimized crystal structure of CaTl6In2.

Lattice parameters (Å, degrees): 4.9001 10.3826 10.3831 90.00 89.99 90.00
Positions (direct):
Ca: 0.5000 0.5000 0.0000
Ca: 0.0000 0.0000 0.5000
Tl: 0.9999 0.0014 0.1676
Tl: 0.9998 0.6675 0.5022
Tl: 0.9998 0.6672 0.8336
Tl: 0.5002 0.1672 0.6664
Tl: 0.5002 0.1675 0.9978
Tl: 0.5001 0.5014 0.3324
Tl: 0.0001 0.9986 0.8324
Tl: 0.0002 0.3325 0.4978
Tl: 0.0002 0.3328 0.1664
Tl: 0.4998 0.8328 0.3336
Tl: 0.4998 0.8325 0.0022
Tl: 0.4999 0.4986 0.6676
In: 0.0002 0.3276 0.8269
In: 0.4998 0.8276 0.6731
In: 0.5002 0.1724 0.3269
In: 0.9998 0.6724 0.1731

Summary:
The calculation puts the energy above the most stable polymorph in this dataset at 0 meV/atom. As for the raw total energy: -2.490 eV per atom. For the energy relative to the elements, the calculation gives -0.082 eV per atom. The value obtained for the density of states at the Fermi level is 0.41 states/eV per atom.